Ba2CoSb GGA-PBE optimized geometry; crystal system = orthorhombic; E = -4.039 eV per atom; Fermi-level density of states = 1.138 states/eV/atom; space-group type = Amm2, No. 38
1.0
-4.126 1.668 -1.509
-2.338 -2.383 3.759
-0.492 3.624 5.352
Co Ba Sb
1 2 1
direct
0.000 0.662 0.551
0.000 0.988 0.900
0.500 0.273 0.330
0.500 0.578 0.719

---

BaCoSb2 GGA-PBE optimized geometry; crystal system = cubic; E = -4.035 eV per atom; Fermi-level density of states = 1.400 states/eV/atom; space-group type = F-43m, No. 216
1.0
-0.193 -2.312 4.865
4.423 -0.182 3.075
0.321 3.036 4.442
Co Sb Ba
1 2 1
direct
0.750 0.750 0.750
0.000 0.000 0.000
0.250 0.250 0.250
0.500 0.500 0.500

---

Ba2CoSb GGA-PBE optimized geometry; crystal system = orthorhombic; E = -3.950 eV per atom; Fermi-level density of states = 1.324 states/eV/atom; space-group type = Imm2, No. 44
1.0
6.694 0.707 -0.166
2.591 6.213 0.166
-4.202 -4.051 3.357
Ba Sb Co
2 1 1
direct
0.741 0.241 0.500
0.026 0.026 0.000
0.315 0.815 0.500
0.419 0.419 0.000

---

Ba2CoSb GGA-PBE optimized geometry; crystal system = tetragonal; E = -3.699 eV per atom; Fermi-level density of states = 1.555 states/eV/atom; space-group type = P4mm, No. 99
1.0
-0.968 -0.434 -3.629
-1.925 -3.131 0.888
-7.961 5.317 1.488
Co Ba Sb
1 2 1
direct
0.000 0.000 0.588
0.000 0.000 0.915
0.500 0.500 0.329
0.500 0.500 0.668

---

BaCoSb2 GGA-PBE optimized geometry; crystal system = tetragonal; E = -4.544 eV per atom; Fermi-level density of states = 0.788 states/eV/atom; space-group type = I-42d, No. 122
1.0
5.749 0.000 0.000
0.000 5.749 0.000
2.875 2.875 8.061
Sb Co Ba
4 2 2
direct
0.875 0.692 0.750
0.308 0.625 0.250
0.442 0.125 0.250
0.375 0.558 0.750
0.500 0.500 0.000
0.250 0.750 0.500
0.750 0.250 0.500
0.000 0.000 0.000

---

BaCo4Sb GGA-PBE optimized geometry; crystal system = cubic; E = -5.314 eV per atom; Fermi-level density of states = 1.559 states/eV/atom; space-group type = F-43m, No. 216
1.0
0.000 3.733 3.733
3.733 0.000 3.733
3.733 3.733 0.000
Co Sb Ba
4 1 1
direct
0.377 0.377 0.868
0.868 0.377 0.377
0.377 0.377 0.377
0.377 0.868 0.377
0.750 0.750 0.750
0.000 0.000 0.000

---

Ba2CoSb GGA-PBE optimized geometry; crystal system = orthorhombic; E = -3.700 eV per atom; Fermi-level density of states = 0.670 states/eV/atom; space-group type = Pmm2, No. 25
1.0
4.914 0.000 0.000
0.000 4.959 0.000
0.000 0.000 6.944
Sb Ba Co
1 2 1
direct
0.500 0.500 0.874
0.500 0.500 0.374
0.000 0.000 0.875
0.000 0.000 0.376

---

Ba2CoSb GGA-PBE optimized geometry; crystal system = tetragonal; E = -3.969 eV per atom; Fermi-level density of states = 0.984 states/eV/atom; space-group type = I-42d, No. 122
1.0
-6.840 9.600 0.048
-8.529 -6.050 -5.441
-8.586 1.122 -0.557
Sb Ba Co
2 4 2
direct
0.000 0.000 0.000
0.750 0.250 0.500
0.875 0.688 0.750
0.312 0.625 0.250
0.438 0.125 0.250
0.375 0.562 0.750
0.500 0.500 0.000
0.250 0.750 0.500

---

BaCoSb2 GGA-PBE optimized geometry; crystal system = tetragonal; E = -4.346 eV per atom; Fermi-level density of states = 0.807 states/eV/atom; space-group type = P4mm, No. 99
1.0
3.656 0.000 0.000
0.000 3.656 0.000
0.000 0.000 7.953
Ba Sb Co
1 2 1
direct
0.000 0.000 0.503
0.500 0.500 0.196
0.000 0.000 0.928
0.500 0.500 0.873

---

BaCoSb2 GGA-PBE optimized geometry; crystal system = monoclinic; E = -4.154 eV per atom; Fermi-level density of states = 1.372 states/eV/atom; space-group type = C2/m, No. 12
1.0
-4.657 5.679 3.907
3.742 -2.278 1.916
1.613 4.184 1.839
Ba Sb Co
1 2 1
direct
0.000 0.500 0.500
0.000 0.000 0.000
0.500 0.000 0.500
0.500 0.500 0.000

---

BaCoSb2 GGA-PBE optimized geometry; crystal system = orthorhombic; E = -4.590 eV per atom; Fermi-level density of states = 0.795 states/eV/atom; space-group type = Amm2, No. 38
1.0
4.517 0.000 0.000
0.000 4.515 0.055
0.000 2.182 6.353
Co Sb Ba
1 2 1
direct
0.500 0.809 0.007
0.500 0.227 0.171
0.000 0.872 0.880
0.000 0.591 0.442

---

BaCoSb2 GGA-PBE optimized geometry; crystal system = trigonal; E = -4.726 eV per atom; Fermi-level density of states = 0.374 states/eV/atom; space-group type = R3m, No. 160
1.0
4.173 0.004 -0.002
2.080 3.618 -0.002
2.088 1.209 7.144
Co Sb Ba
1 2 1
direct
0.329 0.329 0.013
0.951 0.951 0.147
0.716 0.716 0.854
0.504 0.504 0.487

---

Ba2CoSb GGA-PBE optimized geometry; crystal system = tetragonal; E = -3.854 eV per atom; Fermi-level density of states = 0.583 states/eV/atom; space-group type = P4/mmm, No. 123
1.0
5.676 0.000 0.000
0.000 5.674 0.000
0.000 0.000 4.371
Ba Sb Co
2 1 1
direct
0.500 0.500 0.000
0.000 0.000 0.000
0.000 0.500 0.500
0.500 0.000 0.500

---

BaCoSb GGA-PBE optimized geometry; crystal system = tetragonal; E = -4.791 eV per atom; Fermi-level density of states = 0.774 states/eV/atom; space-group type = P4/nmm, No. 129
1.0
-2.694 -3.019 1.830
2.928 -3.197 -0.963
4.152 1.311 8.278
Sb Co Ba
2 2 2
direct
0.500 0.000 0.635
0.000 0.500 0.365
0.500 0.500 0.500
0.000 0.000 0.500
0.000 0.500 0.792
0.500 0.000 0.208

---

Ba2CoSb2 GGA-PBE optimized geometry; crystal system = tetragonal; E = -4.169 eV per atom; Fermi-level density of states = 1.069 states/eV/atom; space-group type = P4/mbm, No. 127
1.0
-0.825 -6.207 3.810
6.026 -2.735 -3.151
3.121 2.120 4.130
Co Ba Sb
2 4 4
direct
0.500 0.500 0.000
0.000 0.000 0.000
0.671 0.829 0.500
0.829 0.329 0.500
0.171 0.671 0.500
0.329 0.171 0.500
0.649 0.149 0.000
0.149 0.351 0.000
0.851 0.649 0.000
0.351 0.851 0.000

---

Ba4CoSb GGA-PBE optimized geometry; crystal system = cubic; E = -2.537 eV per atom; Fermi-level density of states = 1.109 states/eV/atom; space-group type = F-43m, No. 216
1.0
0.000 4.998 4.998
4.998 0.000 4.998
4.998 4.998 0.000
Sb Ba Co
1 4 1
direct
0.000 0.000 0.000
0.374 0.374 0.877
0.877 0.374 0.374
0.374 0.374 0.374
0.374 0.877 0.374
0.750 0.750 0.750

---

Ba3CoSb GGA-PBE optimized geometry; energy above the most stable polymorph in this dataset = 0 meV/atom; crystal system = cubic; Fermi-level density of states = 0.263 states/eV/atom; space-group type = Pm-3m, No. 221
1.0
-1.463 5.499 0.286
-5.368 -1.358 -1.342
-1.227 -0.614 5.530
Sb Ba Co
1 3 1
direct
0.500 0.500 0.500
0.500 0.000 0.000
0.000 0.500 0.000
0.000 0.000 0.500
0.000 0.000 0.000

---

BaCoSb2 GGA-PBE optimized geometry; crystal system = orthorhombic; E = -4.447 eV per atom; Fermi-level density of states = 0.725 states/eV/atom; space-group type = Imm2, No. 44
1.0
8.316 0.123 0.076
6.603 5.057 -0.076
-7.376 -2.832 2.600
Sb Co Ba
2 1 1
direct
0.090 0.090 0.000
0.761 0.261 0.500
0.207 0.707 0.500
0.442 0.442 0.000

---

BaCoSb2 GGA-PBE optimized geometry; crystal system = tetragonal; E = -4.361 eV per atom; Fermi-level density of states = 0.738 states/eV/atom; space-group type = P4/mmm, No. 123
1.0
-1.391 -0.613 3.107
-0.858 -3.193 -1.014
7.223 -2.794 2.683
Co Sb Ba
1 2 1
direct
0.500 0.500 0.750
0.000 0.000 0.570
0.000 0.000 0.930
0.500 0.500 0.250

---

BaCoSb3 GGA-PBE optimized geometry; energy above the most stable polymorph in this dataset = 1794 meV/atom; crystal system = cubic; Fermi-level density of states = 2.490 states/eV/atom; space-group type = Pm-3m, No. 221
1.0
6.207 0.000 0.000
0.000 6.207 0.000
0.000 0.000 6.207
Ba Sb Co
1 3 1
direct
0.000 0.000 0.000
0.000 0.500 0.000
0.500 0.000 0.000
0.000 0.000 0.500
0.500 0.500 0.500